[1]
MnBeS2: relaxed, PBE.

Lattice parameters (Å, degrees): 5.024 5.024 5.980 65.16 65.16 90.00
Sites, in units of the cell vectors:
1 Be 0.500 0.500 0.000
2 Be 0.250 0.750 0.500
3 S 0.611 0.125 0.250
4 S 0.139 0.625 0.250
5 S 0.375 0.389 0.750
6 S 0.875 0.861 0.750
7 Mn 0.000 0.000 0.000
8 Mn 0.750 0.250 0.500

The value obtained for the volume is 61 Å³/f.u. For the total energy, the calculation gives -5.7231 eV per atom. The value obtained for the density is 3.5 Mg/m³. The formation energy (no corrections) comes out at -1.74 eV/f.u.

[2]
Ba3MgAg2: relaxed, PBE.

Lattice parameters (Å, degrees): 4.150 4.150 12.948 90.00 90.00 90.00
Sites, in units of the cell vectors:
1 Ba 0.000 0.000 0.000
2 Ba 0.000 0.000 0.684
3 Ba 0.000 0.000 0.316
4 Mg 0.500 0.500 0.500
5 Ag 0.500 0.500 0.838
6 Ag 0.500 0.500 0.162

The value obtained for the energy relative to the elements is -0.166 eV per atom. The value obtained for the volume is 223 Å³/f.u. For the total energy, the calculation gives -2.3434 eV per atom. The value obtained for the density is 4.9 Mg/m³.

[3]
Ba2Zn6RhAu: relaxed, PBE.

Lattice parameters (Å, degrees): 7.029 7.030 7.039 59.93 59.94 89.99
Sites, in units of the cell vectors:
1 Ba 0.750 0.250 0.500
2 Ba 0.250 0.750 0.500
3 Zn 0.245 0.245 0.510
4 Zn 0.755 0.755 0.000
5 Zn 0.245 0.755 0.000
6 Zn 0.755 0.245 0.000
7 Zn 0.245 0.245 0.000
8 Zn 0.755 0.755 0.490
9 Rh 0.000 0.000 0.000
10 Au 0.500 0.500 0.000

The value obtained for the energy relative to the elements is -0.297 eV per atom. The value obtained for the volume is 245 Å³/f.u. For the total energy, the calculation gives -2.5091 eV per atom. The value obtained for the density is 6.5 Mg/m³.

[4]
K2TaCu: relaxed, PBE.

Lattice parameters (Å, degrees): 11.932 11.932 8.795 47.29 47.29 90.00
Each line ends with the local moment (μB).
Sites, in units of the cell vectors:
1 K 0.474 0.125 0.250  0.02
2 K 0.276 0.625 0.250  0.02
3 K 0.375 0.526 0.750  0.02
4 K 0.875 0.724 0.750  0.02
5 Cu 0.500 0.500 0.000  0.01
6 Cu 0.250 0.750 0.500  0.01
7 Ta 0.000 0.000 0.000  1.88
8 Ta 0.750 0.250 0.500  1.88

The value obtained for the energy relative to the elements is 1.396 eV per atom. The value obtained for the volume is 177 Å³/f.u. For the total energy, the calculation gives -3.1397 eV per atom. The relative energy among the computed polymorphs comes out at 2.593 eV per formula unit. The value obtained for the density is 3.0 Mg/m³.

[5]
In2CoRu: relaxed, PBE.

Lattice parameters (Å, degrees): 5.202 5.202 5.202 135.98 135.98 64.01
Each line ends with the local moment (μB).
Sites, in units of the cell vectors:
1 Co 0.750 0.250 0.500  1.56
2 In 0.000 0.000 0.000  -0.03
3 In 0.250 0.750 0.500  -0.02
4 Ru 0.500 0.500 0.000  0.56

The value obtained for the energy relative to the elements is 0.275 eV per atom. The value obtained for the volume is 67 Å³/f.u. For the total energy, the calculation gives -5.1899 eV per atom. The value obtained for the density is 9.6 Mg/m³.

[6]
Er3Tm3Ru2Au: relaxed, PBE.

Lattice parameters (Å, degrees): 4.785 7.212 7.212 120.00 90.00 90.00
Sites, in units of the cell vectors:
1 Er 0.500 0.730 0.000
2 Er 0.500 0.000 0.730
3 Er 0.500 0.270 0.270
4 Tm 0.000 0.582 0.582
5 Tm 0.000 0.000 0.418
6 Tm 0.000 0.418 0.000
7 Ru 0.500 0.667 0.333
8 Ru 0.500 0.333 0.667
9 Au 0.000 0.000 0.000

The value obtained for the energy relative to the elements is -0.402 eV per atom. The value obtained for the volume is 216 Å³/f.u. For the total energy, the calculation gives -5.8384 eV per atom. The value obtained for the density is 10.8 Mg/m³.

[7]
Tb5Bi2CSe: relaxed, PBE.

Lattice parameters (Å, degrees): 4.702 4.702 11.037 90.00 90.00 90.00
Sites, in units of the cell vectors:
1 Tb 0.000 0.500 0.500
2 Tb 0.500 0.000 0.500
3 Tb 0.000 0.000 0.741
4 Tb 0.000 0.000 0.259
5 Tb 0.500 0.500 0.000
6 Bi 0.500 0.500 0.285
7 Bi 0.500 0.500 0.715
8 C 0.000 0.000 0.500
9 Se 0.000 0.000 0.000

The value obtained for the volume is 244 Å³/f.u. For the total energy, the calculation gives -5.6356 eV per atom. The value obtained for the density is 8.9 Mg/m³. The formation energy (no corrections) comes out at -7.10 eV/f.u.

[8]
PmAl5Ni3: relaxed, PBE.

Lattice parameters (Å, degrees): 3.936 6.472 12.204 90.00 90.00 107.70
Sites, in units of the cell vectors:
1 Pm 0.834 0.667 0.750
2 Pm 0.166 0.333 0.250
3 Al 0.796 0.593 0.435
4 Al 0.204 0.407 0.935
5 Al 0.000 0.000 0.500
6 Al 0.000 0.000 0.000
7 Al 0.444 0.888 0.148
8 Al 0.556 0.112 0.852
9 Al 0.556 0.112 0.648
10 Al 0.796 0.593 0.065
11 Al 0.204 0.407 0.565
12 Al 0.444 0.888 0.352
13 Ni 0.392 0.785 0.962
14 Ni 0.877 0.754 0.250
15 Ni 0.392 0.785 0.538
16 Ni 0.608 0.215 0.462
17 Ni 0.123 0.246 0.750
18 Ni 0.608 0.215 0.038

The value obtained for the energy relative to the elements is -0.522 eV per atom. The value obtained for the volume is 148 Å³/f.u. For the total energy, the calculation gives -5.0557 eV per atom. The value obtained for the density is 5.1 Mg/m³.